#A
The following is a DFT calculation (PBE) of Ca2NbNi after structural relaxation.

Summary:
mass density	4.07	g/cm3

Unit cell a=5.113 b=5.113 c=5.113 alpha=60.00 beta=60.00 gamma=60.00
Each line ends with the local moment (μB).
Fractional coordinates of all 4 atoms:
Nb  0.500  0.500  0.500  2.47
Ca  0.250  0.250  0.250  0.11
Ca  0.750  0.750  0.750  0.11
Ni  0.000  0.000  0.000  0.20


#B
The following is a DFT calculation (PBE) of Ca2NbNi after structural relaxation.

Summary:
mass density	3.13	g/cm3

Unit cell a=10.252 b=10.252 c=7.618 alpha=47.71 beta=47.71 gamma=90.00
Each line ends with the local moment (μB).
Fractional coordinates of all 8 atoms:
Ca  0.475  0.125  0.250  0.03
Ca  0.275  0.625  0.250  0.02
Ni  0.500  0.500  0.000  0.01
Nb  0.750  0.250  0.500  1.46
Nb  0.000  0.000  0.000  1.46
Ca  0.875  0.725  0.750  0.03
Ni  0.250  0.750  0.500  0.01
Ca  0.375  0.525  0.750  0.03


In terms of stability, #B leads; the second structure lies 73 meV/atom higher.